First-principles (SCAN) data for Mg3CoS at its PBEsol-relaxed geometry, as listed in the Alexandria database.

Values from the calculation:
SG: No. 221
V: 104.2 Å³ per cell
total magnetization: 1.4 μB/f.u.
formation energy from raw total energies: 55 meV/atom
VASP energy: -41.6 eV per cell
crystal system: cubic

Unit cell a=4.706 b=4.706 c=4.706 alpha=90.00 beta=90.00 gamma=90.00
Fractional positions:
S: 0.000 0.000 0.000
Co: 0.500 0.500 0.500
Mg: 0.000 0.500 0.000
Mg: 0.000 0.000 0.500
Mg: 0.500 0.000 0.000